1.
A relaxed TcNiHRu2 crystal, computed with PBE-GGA.

Its excess energy over the best structure of this formula in the dataset is 0.0256 eV/atom. As for the calculated total energy: -7.440 eV/atom. As for the total magnetization: 0.000 μB/cell.

Unit cell a=3.8437 b=3.8437 c=3.8165 alpha=90.00 beta=90.00 gamma=90.00
Last column: nearest neighbours and their distance in Å.
Fractional coordinates of all 5 atoms:
Ru 0.0000 0.5000 0.0000  2 H 1.92
Ru 0.5000 0.0000 0.0000  2 H 1.92
H 0.0000 0.0000 0.0000  2 Tc 1.91, 4 Ru 1.92
Tc 0.0000 0.0000 0.5000  2 H 1.91
Ni 0.5000 0.5000 0.5000  8 Ru 2.71, 4 Tc 2.72



2.
A relaxed SiBiBTe crystal, computed with PBE-GGA.

Its excess energy over the best structure of this formula in the dataset is 0.0037 eV/atom. As for the calculated total energy: -4.602 eV/atom. The energy relative to the elements, uncorrected comes out at 0.178 eV/atom. As for the total magnetization: 0.000 μB/cell.

Unit cell a=3.3506 b=3.7054 c=16.6580 alpha=90.00 beta=90.58 gamma=90.00
Last column: nearest neighbours and their distance in Å.
Fractional coordinates of all 8 atoms:
B 0.3922 0.0000 0.3422  2 Si 1.99
B 0.3922 0.5000 0.8422  2 Si 1.99
Si 0.8955 0.0000 0.4071  2 B 1.99
Si 0.8955 0.5000 0.9071  2 B 1.99
Bi 0.9020 0.5000 0.5264  2 Si 2.72
Bi 0.9020 0.0000 0.0264  2 Si 2.72
Te 0.3880 0.5000 0.2585  2 B 2.32
Te 0.3880 0.0000 0.7585  2 B 2.32



3.
A relaxed Tb5Ho2Sc2 crystal, computed with PBE-GGA.

Its excess energy over the best structure of this formula in the dataset is 0.0000 eV/atom. As for the calculated total energy: -4.890 eV/atom. As for the total magnetization: 0.000 μB/cell.

Unit cell a=3.4363 b=8.9758 c=11.2554 alpha=53.81 beta=81.22 gamma=78.96
Last column: nearest neighbours and their distance in Å.
Fractional coordinates of all 9 atoms:
Sc 0.4887 0.3464 0.6762  3 Sc 3.23-3.44, 5 Tb 3.40-3.54, 4 Ho 3.41-3.47
Sc 0.5113 0.6536 0.3238  3 Sc 3.23-3.44, 5 Tb 3.40-3.54, 4 Ho 3.41-3.47
Tb 0.3407 0.1006 0.2181  1 Sc 3.40, 7 Tb 3.44-3.49, 3 Ho 3.46-3.64
Tb 0.0000 0.0000 0.0000  8 Tb 3.33-3.48, 4 Sc 3.54
Tb 0.1682 0.5632 0.1004  8 Tb 3.33-3.49, 1 Ho 3.38, 2 Sc 3.47
Tb 0.8318 0.4368 0.8996  8 Tb 3.33-3.49, 1 Ho 3.38, 2 Sc 3.47
Tb 0.6593 0.8994 0.7819  1 Sc 3.40, 7 Tb 3.44-3.49, 3 Ho 3.46-3.64
Ho 0.8546 0.7597 0.5311  4 Tb 3.38-3.64, 4 Sc 3.41-3.47, 2 Ho 3.44
Ho 0.1454 0.2403 0.4689  4 Tb 3.38-3.64, 4 Sc 3.41-3.47, 2 Ho 3.44



4.
A relaxed Ru crystal, computed with PBE-GGA.

Its excess energy over the best structure of this formula in the dataset is 0.1413 eV/atom. As for the calculated total energy: -9.134 eV/atom. As for the total magnetization: 0.000 μB/cell.

Unit cell a=2.7036 b=2.7036 c=2.7036 alpha=60.00 beta=60.00 gamma=60.00
Last column: nearest neighbours and their distance in Å.
Fractional coordinates of all 1 atoms:
Ru 0.0000 0.0000 0.0000  12 Ru 2.70



5.
A relaxed Ce4TcRu2 crystal, computed with PBE-GGA.

As for the calculated total energy: -7.742 eV/atom. As for the total magnetization: 0.539 μB/cell.

Unit cell a=7.4287 b=7.5050 c=7.5043 alpha=111.96 beta=110.68 gamma=106.26
Last column: nearest neighbours and their distance in Å.
Fractional coordinates of all 14 atoms:
Ce 0.8833 0.6369 0.1155  1 Ru 2.51
Ce 0.4846 0.7445 0.8529  1 Tc 2.39
Ce 0.7655 0.1182 0.7599  1 Tc 2.39
Ce 0.3124 0.1877 0.7808  1 Ru 2.68, 1 Tc 2.96
Ce 0.9176 0.6929 0.6400  1 Tc 2.54, 1 Ru 2.82
Ce 0.9381 0.2185 0.3757  1 Ru 2.69, 1 Tc 2.96
Ce 0.3325 0.4727 0.2754  1 Tc 2.54, 1 Ru 2.82
Ce 0.3667 0.9823 0.2535  1 Ru 2.50
Ru 0.6527 0.7587 0.2543  2 Ce 2.51-2.77
Ru 0.1247 0.5120 0.8868  8 Ce 2.91-3.12
Ru 0.6246 0.3114 0.1859  6 Ce 2.68-3.00
Ru 0.5978 0.3517 0.6061  2 Ce 2.50-2.77
Tc 0.2718 0.7510 0.5334  2 Ce 2.39-2.54
Tc 0.9776 0.0117 0.9798  2 Ce 2.39-2.54



6.
A relaxed NiHPdRu2 crystal, computed with PBE-GGA.

Its excess energy over the best structure of this formula in the dataset is 0.6160 eV/atom. As for the calculated total energy: -5.759 eV/atom. As for the total magnetization: 3.717 μB/cell.

Unit cell a=4.7758 b=2.8583 c=4.7758 alpha=90.00 beta=90.00 gamma=90.00
Last column: nearest neighbours and their distance in Å.
Fractional coordinates of all 5 atoms:
Ru 0.5000 0.0000 0.0000  2 Ni 2.39
Ru 0.0000 0.0000 0.5000  2 Ni 2.39
Ni 0.0000 0.0000 0.0000  2 H 1.43
Pd 0.5000 0.5000 0.5000  8 Ru 2.78, 2 Pd 2.86
H 0.0000 0.5000 0.0000  2 Ni 1.43



7.
A relaxed BaIn2Co crystal, computed with PBE-GGA.

As for the calculated total energy: -3.463 eV/atom. As for the total magnetization: 0.573 μB/cell.

Unit cell a=5.7320 b=5.7320 c=5.7320 alpha=127.22 beta=119.25 gamma=84.63
Last column: nearest neighbours and their distance in Å.
Fractional coordinates of all 4 atoms:
Ba 0.5223 0.5223 0.0000  2 Co 2.96
In 0.8005 0.3005 0.5000  1 Co 2.48
In 0.0836 0.0836 0.0000  2 Co 2.55
Co 0.0936 0.5936 0.5000  3 In 2.48-2.55



8.
A relaxed LiNi2C2 crystal, computed with PBE-GGA.

Its excess energy over the best structure of this formula in the dataset is 0.5458 eV/atom. As for the calculated total energy: -5.676 eV/atom. As for the total magnetization: 0.000 μB/cell.

Unit cell a=5.6839 b=5.6839 c=2.5653 alpha=90.00 beta=90.00 gamma=90.00
Last column: nearest neighbours and their distance in Å.
Fractional coordinates of all 10 atoms:
C 0.8489 0.6511 0.0000  6 Ni 2.04-2.14, 2 Li 2.16
C 0.6511 0.1511 0.0000  6 Ni 2.04-2.14, 2 Li 2.16
C 0.1511 0.3489 0.0000  6 Ni 2.04-2.14, 2 Li 2.16
C 0.3489 0.8489 0.0000  6 Ni 2.04-2.14, 2 Li 2.16
Ni 0.3486 0.1514 0.5000  6 C 2.04-2.14
Ni 0.6514 0.8486 0.5000  6 C 2.04-2.14
Ni 0.1514 0.6514 0.5000  6 C 2.04-2.14
Ni 0.8486 0.3486 0.5000  6 C 2.04-2.14
Li 0.5000 0.5000 0.0000  4 C 2.16
Li 0.0000 0.0000 0.0000  4 C 2.16



9.
A relaxed SrAlFe2 crystal, computed with PBE-GGA.

As for the calculated total energy: -4.904 eV/atom. As for the total magnetization: 4.457 μB/cell.

Unit cell a=4.8448 b=4.8448 c=3.0255 alpha=89.96 beta=89.96 gamma=89.86
Last column: nearest neighbours and their distance in Å.
Fractional coordinates of all 4 atoms:
Fe 0.0000 0.0000 0.0000  4 Al 2.86, 4 Sr 2.86, 2 Fe 3.03
Fe 0.5000 0.5000 0.0000  4 Sr 2.86, 4 Al 2.86, 2 Fe 3.03
Sr 0.5000 0.0000 0.5000  8 Fe 2.86, 2 Sr 3.03
Al 0.0000 0.5000 0.5000  8 Fe 2.86, 2 Al 3.03



10.
A relaxed FeW crystal, computed with PBE-GGA.

As for the calculated total energy: -10.156 eV/atom. As for the total magnetization: 0.001 μB/cell.

Unit cell a=3.7055 b=3.7055 c=4.8840 alpha=90.00 beta=90.00 gamma=120.00
Last column: nearest neighbours and their distance in Å.
Fractional coordinates of all 4 atoms:
W 0.6667 0.3333 0.7500  6 Fe 2.46
W 0.3333 0.6667 0.2500  6 Fe 2.46
Fe 0.0000 0.0000 0.0000  2 Fe 2.44, 6 W 2.46
Fe 0.0000 0.0000 0.5000  2 Fe 2.44, 6 W 2.46



11.
A relaxed BeCrTc2 crystal, computed with PBE-GGA.

As for the calculated total energy: -8.419 eV/atom. As for the total magnetization: 0.001 μB/cell.

Unit cell a=2.6031 b=2.6031 c=7.8966 alpha=90.00 beta=90.00 gamma=109.20
Last column: nearest neighbours and their distance in Å.
Fractional coordinates of all 4 atoms:
Tc 0.0000 0.0000 0.0104  2 Be 2.42, 2 Cr 2.55, 4 Tc 2.60
Tc 0.0000 0.0000 0.4896  2 Be 2.42, 2 Cr 2.55, 4 Tc 2.60
Be 0.5000 0.5000 0.2500  4 Tc 2.42, 4 Be 2.60
Cr 0.5000 0.5000 0.7500  4 Tc 2.55, 4 Cr 2.60



12.
A relaxed LiMg2Pb crystal, computed with PBE-GGA.

As for the calculated total energy: -2.287 eV/atom. As for the total magnetization: 0.000 μB/cell.

Unit cell a=5.3243 b=3.2658 c=5.3991 alpha=88.98 beta=90.00 gamma=90.00
Last column: nearest neighbours and their distance in Å.
Fractional coordinates of all 4 atoms:
Mg 0.0000 0.0096 0.9914  6 Mg 3.02-3.27, 2 Li 3.09, 2 Pb 3.11
Mg 0.0000 0.4904 0.5086  6 Mg 3.02-3.27, 2 Li 3.09, 2 Pb 3.11
Pb 0.5000 0.2500 0.2500  4 Mg 3.11, 4 Li 3.13-3.18, 2 Pb 3.27
Li 0.5000 0.7500 0.7500  4 Mg 3.09, 4 Pb 3.13-3.18, 2 Li 3.27



13.
A relaxed KSnHgCl6 crystal, computed with PBE-GGA.

As for the calculated total energy: -2.850 eV/atom. The energy relative to the elements, uncorrected comes out at -1.019 eV/atom. As for the total magnetization: 1.431 μB/cell.

Unit cell a=6.9968 b=6.9968 c=13.7505 alpha=90.00 beta=90.00 gamma=120.00
Last column: nearest neighbours and their distance in Å.
Fractional coordinates of all 18 atoms:
Cl 0.9929 0.6256 0.3612  1 Sn 2.66, 1 Hg 2.72
Cl 0.6326 0.6256 0.1388  1 Sn 2.66, 1 Hg 2.72
Cl 0.6256 0.6326 0.6388  1 Sn 2.66, 1 Hg 2.72
Cl 0.3674 0.9929 0.6388  1 Sn 2.66, 1 Hg 2.72
Cl 0.6256 0.9929 0.8612  1 Sn 2.66, 1 Hg 2.72
Cl 0.0071 0.3744 0.6388  1 Sn 2.66, 1 Hg 2.72
Cl 0.9929 0.3674 0.1388  1 Sn 2.66, 1 Hg 2.72
Cl 0.3674 0.3744 0.8612  1 Sn 2.66, 1 Hg 2.72
Cl 0.3744 0.0071 0.1388  1 Sn 2.66, 1 Hg 2.72
Cl 0.0071 0.6326 0.8612  1 Sn 2.66, 1 Hg 2.72
Cl 0.3744 0.3674 0.3612  1 Sn 2.66, 1 Hg 2.72
Cl 0.6326 0.0071 0.3612  1 Sn 2.66, 1 Hg 2.72
K 0.0000 0.0000 0.5000  6 Cl 3.22
K 0.0000 0.0000 0.0000  6 Cl 3.22
Sn 0.6667 0.3333 0.2500  6 Cl 2.66
Sn 0.3333 0.6667 0.7500  6 Cl 2.66
Hg 0.3333 0.6667 0.2500  6 Cl 2.72
Hg 0.6667 0.3333 0.7500  6 Cl 2.72



| no. | N(E_F) (states/eV/atom) |
| --- | --- |
| 1 | 1.170 |
| 2 | 0.109 |
| 3 | 1.612 |
| 4 | 1.790 |
| 5 | 1.451 |
| 6 | 0.990 |
| 7 | 1.002 |
| 8 | 0.466 |
| 9 | 1.363 |
| 10 | 0.908 |
| 11 | 1.030 |
| 12 | 0.298 |
| 13 | 0.537 |